First-principles (SCAN) data for a crystal of InTeP2 relaxed with PBEsol, as listed in Alexandria.

Unit cell a=3.904 b=4.710 c=5.184 alpha=102.83 beta=90.00 gamma=90.00
Sites, in units of the cell vectors:
In1 0.500 0.500 0.000
P1 0.000 0.178 0.176
P2 0.000 0.822 0.824
Te1 0.500 0.000 0.500

Output
SG = P2/m, No. 10
formation energy from raw total energies = 0.07 eV/atom
excess energy over the best structure of this formula in the dataset = 0.0 meV/atom
mass density = 5.438 g/cm³



First-principles (SCAN) data for a crystal of TlInP2 relaxed with PBEsol, as listed in Alexandria.

Unit cell a=3.973 b=5.158 c=5.158 alpha=65.18 beta=67.35 gamma=67.35
Sites, in units of the cell vectors:
In1 0.500 0.000 0.000
P1 0.227 0.773 0.773
P2 0.773 0.227 0.227
Tl1 0.000 0.500 0.500

Output
SG = Immm, No. 71
calculated total energy = -124.53 eV/cell
mass density = 7.418 g/cm³



First-principles (SCAN) data for a crystal of InP2W relaxed with PBEsol, as listed in Alexandria.

Unit cell a=3.184 b=4.381 c=5.224 alpha=95.95 beta=90.00 gamma=111.31
Sites, in units of the cell vectors:
In1 0.500 0.000 0.000
P1 0.721 0.441 0.674
P2 0.279 0.559 0.326
W1 0.000 0.000 0.500

Output
SG = C2/m, No. 12
calculated total energy = -122.76 eV/cell
mass density = 8.875 g/cm³



First-principles (SCAN) data for a crystal of InP2W relaxed with PBEsol, as listed in Alexandria.

Unit cell a=3.125 b=3.125 c=6.845 alpha=90.00 beta=90.00 gamma=90.00
Sites, in units of the cell vectors:
In1 0.500 0.500 0.728
P1 0.000 0.000 0.071
P2 0.500 0.500 0.273
W1 0.000 0.000 0.428

Output
SG = P4mm, No. 99
calculated total energy = -122.54 eV/cell
mass density = 8.960 g/cm³



First-principles (SCAN) data for a crystal of InP2W relaxed with PBEsol, as listed in Alexandria.

Unit cell a=4.366 b=4.366 c=4.366 alpha=98.79 beta=115.06 gamma=115.06
Sites, in units of the cell vectors:
In1 0.000 0.500 0.500
P1 0.500 0.750 0.250
P2 0.500 0.250 0.750
W1 0.000 0.000 0.000

Output
SG = I4/mmm, No. 139
calculated total energy = -121.38 eV/cell
mass density = 9.590 g/cm³



First-principles (SCAN) data for a crystal of In4PW relaxed with PBEsol, as listed in Alexandria.

Unit cell a=5.594 b=5.594 c=5.594 alpha=60.00 beta=60.00 gamma=60.00
Sites, in units of the cell vectors:
In1 0.375 0.375 0.375
In2 0.375 0.375 0.875
In3 0.875 0.375 0.375
In4 0.375 0.875 0.375
P1 0.750 0.750 0.750
W1 0.000 0.000 0.000

Output
SG = F-43m, No. 216
calculated total energy = -206.99 eV/cell
mass density = 9.041 g/cm³



First-principles (SCAN) data for a crystal of Y2InP relaxed with PBEsol, as listed in Alexandria.

Unit cell a=3.851 b=3.851 c=8.149 alpha=76.33 beta=76.33 gamma=60.00
Sites, in units of the cell vectors:
Y1 0.734 0.734 0.797
Y2 0.266 0.266 0.203
P1 0.000 0.000 0.000
In1 0.500 0.500 0.500

Output
SG = R-3m, No. 166
excess energy over the best structure of this formula in the dataset = 0.0 meV/atom
mass density = 5.336 g/cm³



First-principles (SCAN) data for a crystal of YIn3P relaxed with PBEsol, as listed in Alexandria.

Unit cell a=5.126 b=5.126 c=5.126 alpha=90.00 beta=90.00 gamma=90.00
Sites, in units of the cell vectors:
Y1 0.500 0.500 0.500
P1 0.000 0.000 0.000
In1 0.000 0.500 0.000
In2 0.000 0.000 0.500
In3 0.500 0.000 0.000

Output
SG = Pm-3m, No. 221
calculated total energy = -137.27 eV/cell
mass density = 5.724 g/cm³



First-principles (SCAN) data for a crystal of Y2InP relaxed with PBEsol, as listed in Alexandria.

Unit cell a=3.431 b=3.431 c=7.772 alpha=90.00 beta=90.00 gamma=90.20
Sites, in units of the cell vectors:
In1 0.500 0.500 0.500
P1 0.500 0.500 0.000
Y1 0.000 0.000 0.210
Y2 0.000 0.000 0.790

Output
SG = Cmmm, No. 65
excess energy over the best structure of this formula in the dataset = 239.5 meV/atom
mass density = 5.872 g/cm³



First-principles (SCAN) data for a crystal of YInP2 relaxed with PBEsol, as listed in Alexandria.

Unit cell a=4.816 b=4.816 c=4.816 alpha=60.00 beta=60.00 gamma=60.00
Sites, in units of the cell vectors:
In1 0.000 0.000 0.000
P1 0.750 0.750 0.750
P2 0.250 0.250 0.250
Y1 0.500 0.500 0.500

Output
SG = Fm-3m, No. 225
calculated total energy = -83.50 eV/cell
mass density = 5.584 g/cm³



First-principles (SCAN) data for a crystal of YInP3 relaxed with PBEsol, as listed in Alexandria.

Unit cell a=5.174 b=5.174 c=5.174 alpha=90.00 beta=90.00 gamma=90.00
Sites, in units of the cell vectors:
Y1 0.000 0.000 0.000
P1 0.000 0.500 0.000
P2 0.000 0.000 0.500
P3 0.500 0.000 0.000
In1 0.500 0.500 0.500

Output
SG = Pm-3m, No. 221
calculated total energy = -89.80 eV/cell
mass density = 3.557 g/cm³



First-principles (SCAN) data for a crystal of YInP2 relaxed with PBEsol, as listed in Alexandria.

Unit cell a=4.847 b=4.847 c=4.847 alpha=60.00 beta=60.00 gamma=60.00
Sites, in units of the cell vectors:
In1 0.500 0.500 0.500
P1 0.000 0.000 0.000
P2 0.250 0.250 0.250
Y1 0.750 0.750 0.750

Output
SG = F-43m, No. 216
calculated total energy = -81.87 eV/cell
mass density = 5.479 g/cm³



First-principles (SCAN) data for a crystal of ZnIn2P relaxed with PBEsol, as listed in Alexandria.

Unit cell a=3.871 b=3.871 c=6.184 alpha=108.24 beta=108.24 gamma=90.00
Sites, in units of the cell vectors:
In1 0.000 0.000 0.000
In2 0.750 0.250 0.500
P1 0.500 0.500 0.000
Zn1 0.250 0.750 0.500

Output
SG = I-4m2, No. 119
excess energy over the best structure of this formula in the dataset = 209.8 meV/atom
mass density = 6.514 g/cm³



First-principles (SCAN) data for a crystal of ZnIn4P relaxed with PBEsol, as listed in Alexandria.

Unit cell a=5.917 b=5.917 c=5.917 alpha=60.00 beta=60.00 gamma=60.00
Sites, in units of the cell vectors:
In1 0.375 0.375 0.375
In2 0.375 0.375 0.874
In3 0.874 0.375 0.375
In4 0.375 0.874 0.375
P1 0.750 0.750 0.750
Zn1 0.000 0.000 0.000

Output
SG = F-43m, No. 216
calculated total energy = -153.90 eV/cell
mass density = 6.298 g/cm³



First-principles (SCAN) data for a crystal of ZnInP2 relaxed with PBEsol, as listed in Alexandria.

Unit cell a=4.597 b=4.597 c=4.597 alpha=60.00 beta=60.00 gamma=60.00
Sites, in units of the cell vectors:
In1 0.500 0.500 0.500
P1 0.000 0.000 0.000
P2 0.750 0.750 0.750
Zn1 0.250 0.250 0.250

Output
SG = F-43m, No. 216
calculated total energy = -65.30 eV/cell
mass density = 5.856 g/cm³



First-principles (SCAN) data for a crystal of ZnIn2P relaxed with PBEsol, as listed in Alexandria.

Unit cell a=3.820 b=4.878 c=4.894 alpha=111.47 beta=90.00 gamma=90.00
Sites, in units of the cell vectors:
In1 0.000 0.030 0.971
In2 0.500 0.710 0.289
P1 0.000 0.470 0.531
Zn1 0.500 0.290 0.709

Output
SG = Pm, No. 6
excess energy over the best structure of this formula in the dataset = 0.0 meV/atom
mass density = 6.379 g/cm³



First-principles (SCAN) data for a crystal of ZrInP relaxed with PBEsol, as listed in Alexandria.

Unit cell a=3.614 b=3.614 c=5.716 alpha=90.00 beta=90.00 gamma=120.00
Sites, in units of the cell vectors:
In1 0.000 0.000 0.979
P1 0.333 0.667 0.635
Zr1 0.667 0.333 0.386

Output
SG = P3m1, No. 156
excess energy over the best structure of this formula in the dataset = 247.0 meV/atom
mass density = 6.089 g/cm³



First-principles (SCAN) data for a crystal of ZrIn2P relaxed with PBEsol, as listed in Alexandria.

Unit cell a=3.085 b=3.085 c=8.837 alpha=90.00 beta=90.00 gamma=103.31
Sites, in units of the cell vectors:
In1 0.000 0.000 0.262
In2 0.000 0.000 0.738
P1 0.500 0.500 0.500
Zr1 0.500 0.500 0.000

Output
SG = Cmmm, No. 65
calculated total energy = -107.28 eV/cell
mass density = 7.139 g/cm³



First-principles (SCAN) data for a crystal of ZrInP2 relaxed with PBEsol, as listed in Alexandria.

Unit cell a=3.507 b=3.656 c=6.476 alpha=106.39 beta=105.71 gamma=90.00
Sites, in units of the cell vectors:
In1 0.216 0.716 0.432
P1 0.027 0.027 0.053
P2 0.797 0.297 0.594
Zr1 0.460 0.460 0.920

Output
SG = Imm2, No. 44
calculated total energy = -87.13 eV/cell
mass density = 5.824 g/cm³



First-principles (SCAN) data for a crystal of ZrInP relaxed with PBEsol, as listed in Alexandria.

Unit cell a=3.486 b=3.486 c=5.678 alpha=107.88 beta=107.88 gamma=90.00
Sites, in units of the cell vectors:
In1 0.007 0.007 0.014
P1 0.282 0.282 0.565
Zr1 0.711 0.711 0.422

Output
SG = I4mm, No. 107
excess energy over the best structure of this formula in the dataset = 0.0 meV/atom
mass density = 6.331 g/cm³



First-principles (SCAN) data for a crystal of PaInRu2 relaxed with PBEsol, as listed in Alexandria.

Unit cell a=4.663 b=4.663 c=4.663 alpha=60.00 beta=60.00 gamma=60.00
Sites, in units of the cell vectors:
Ru1 0.250 0.250 0.250
Ru2 0.750 0.750 0.750
Pa1 0.000 0.000 0.000
In1 0.500 0.500 0.500

Output
SG = Fm-3m, No. 225
calculated total energy = -204.23 eV/cell
mass density = 12.691 g/cm³



First-principles (SCAN) data for a crystal of PaInTc2 relaxed with PBEsol, as listed in Alexandria.

Unit cell a=4.667 b=4.667 c=4.667 alpha=60.00 beta=60.00 gamma=60.00
Sites, in units of the cell vectors:
Pa1 0.000 0.000 0.000
Tc1 0.250 0.250 0.250
Tc2 0.750 0.750 0.750
In1 0.500 0.500 0.500

Output
SG = Fm-3m, No. 225
calculated total energy = -203.53 eV/cell
mass density = 12.520 g/cm³



First-principles (SCAN) data for a crystal of In2Pb relaxed with PBEsol, as listed in Alexandria.

Unit cell a=3.437 b=5.976 c=8.878 alpha=111.59 beta=90.00 gamma=106.71
Sites, in units of the cell vectors:
Pb1 0.168 0.337 0.101
Pb2 0.832 0.663 0.899
In1 0.514 0.029 0.754
In2 0.842 0.683 0.440
In3 0.158 0.317 0.560
In4 0.486 0.971 0.246

Output
SG = C2/m, No. 12
excess energy over the best structure of this formula in the dataset = 0.0 meV/atom
mass density = 8.997 g/cm³



First-principles (SCAN) data for a crystal of In2Pb relaxed with PBEsol, as listed in Alexandria.

Unit cell a=3.312 b=9.242 c=9.242 alpha=120.00 beta=90.00 gamma=90.00
Sites, in units of the cell vectors:
In1 0.000 0.690 0.690
In2 0.000 0.000 0.310
In3 0.000 0.310 0.000
In4 0.500 0.359 0.359
In5 0.500 0.000 0.641
In6 0.500 0.641 0.000
Pb1 0.000 0.667 0.333
Pb2 0.000 0.333 0.667
Pb3 0.500 0.000 0.000

Output
SG = P-62m, No. 189
excess energy over the best structure of this formula in the dataset = 13.1 meV/atom
mass density = 8.882 g/cm³



First-principles (SCAN) data for a crystal of InPb3 relaxed with PBEsol, as listed in Alexandria.

Unit cell a=3.373 b=6.372 c=6.372 alpha=116.96 beta=100.16 gamma=100.16
Sites, in units of the cell vectors:
Pb1 0.500 0.500 0.000
Pb2 0.000 0.500 0.500
Pb3 0.500 0.000 0.500
In1 0.000 0.000 0.000

Output
SG = R-3m, No. 166
calculated total energy = -260.47 eV/cell
mass density = 10.641 g/cm³



First-principles (SCAN) data for a crystal of InPb relaxed with PBEsol, as listed in Alexandria.

Unit cell a=3.362 b=3.362 c=9.776 alpha=90.00 beta=90.00 gamma=90.00
Sites, in units of the cell vectors:
Pb1 0.500 0.000 0.633
Pb2 0.000 0.500 0.367
In1 0.500 0.000 0.116
In2 0.000 0.500 0.884

Output
SG = P4/nmm, No. 129
calculated total energy = -218.15 eV/cell
mass density = 9.680 g/cm³



First-principles (SCAN) data for a crystal of In4Pb5 relaxed with PBEsol, as listed in Alexandria.

Unit cell a=6.610 b=9.365 c=9.365 alpha=120.00 beta=90.00 gamma=90.00
Sites, in units of the cell vectors:
In1 0.000 0.000 0.000
In2 0.500 0.000 0.000
In3 0.750 0.000 0.353
In4 0.750 0.353 0.000
In5 0.750 0.647 0.647
In6 0.250 0.000 0.647
In7 0.250 0.647 0.000
In8 0.250 0.353 0.353
Pb1 0.750 0.000 0.686
Pb2 0.750 0.686 0.000
Pb3 0.750 0.314 0.314
Pb4 0.250 0.000 0.314
Pb5 0.250 0.314 0.000
Pb6 0.250 0.686 0.686
Pb7 0.000 0.333 0.667
Pb8 0.500 0.667 0.333
Pb9 0.000 0.667 0.333
Pb10 0.500 0.333 0.667

Output
SG = P6_3/mcm, No. 193
calculated total energy = -1023.60 eV/cell
mass density = 9.892 g/cm³



First-principles (SCAN) data for a crystal of In2Pb relaxed with PBEsol, as listed in Alexandria.

Unit cell a=3.461 b=3.461 c=7.168 alpha=103.97 beta=103.97 gamma=90.00
Sites, in units of the cell vectors:
Pb1 0.000 0.000 0.000
In1 0.329 0.329 0.658
In2 0.671 0.671 0.342

Output
SG = I4/mmm, No. 139
excess energy over the best structure of this formula in the dataset = 4.6 meV/atom
mass density = 8.987 g/cm³



First-principles (SCAN) data for a crystal of In2Pb relaxed with PBEsol, as listed in Alexandria.

Unit cell a=3.361 b=5.832 c=9.451 alpha=113.15 beta=90.00 gamma=106.75
Sites, in units of the cell vectors:
Pb1 0.971 0.941 0.450
Pb2 0.307 0.614 0.106
In1 0.975 0.950 0.939
In2 0.303 0.605 0.617
In3 0.639 0.278 0.278
In4 0.639 0.278 0.778

Output
SG = C2/m, No. 12
excess energy over the best structure of this formula in the dataset = 3.0 meV/atom
mass density = 8.968 g/cm³